(1)
TcNiMo2 | PBE | relaxed

Output
Energy above the lowest structure with this stoichiometry, meV/atom: 85
D(E_F), states/eV/cell: 3.8
DFT total energy, eV per atom: -9.3606
SG: No. 65
E_form, eV/atom: 0.092

Lattice parameters (Å, degrees): 2.6679 2.6679 8.4018 90.00 90.00 105.57
With the nearest neighbours (Å) after each atom.
Atoms (fractional coordinates):
Tc 0.0000 0.0000 0.0000  4 Tc 2.67, 4 Mo 2.73
Ni 0.0000 0.0000 0.5000  4 Mo 2.57, 4 Ni 2.67
Mo 0.5000 0.5000 0.2620  2 Ni 2.57, 4 Mo 2.67, 2 Tc 2.73
Mo 0.5000 0.5000 0.7380  2 Ni 2.57, 4 Mo 2.67, 2 Tc 2.73



(2)
TcNiMo4 | PBE | relaxed

Output
D(E_F), states/eV/cell: 5.2
DFT total energy, eV per atom: -9.5062
SG: No. 216
E_form, eV/atom: 0.406

Lattice parameters (Å, degrees): 5.1243 5.1243 5.1243 60.00 60.00 60.00
With the nearest neighbours (Å) after each atom.
Atoms (fractional coordinates):
Tc 0.0000 0.0000 0.0000  12 Mo 3.01, 4 Ni 3.14
Ni 0.2500 0.2500 0.2500  12 Mo 3.00, 4 Tc 3.14
Mo 0.1268 0.6244 0.6244  6 Mo 2.55-2.57
Mo 0.6244 0.1268 0.6244  6 Mo 2.55-2.57
Mo 0.6244 0.6244 0.1268  6 Mo 2.55-2.57
Mo 0.6244 0.6244 0.6244  6 Mo 2.55-2.57



(3)
TcNiMo | PBE | relaxed

Output
Energy above the lowest structure with this stoichiometry, meV/atom: 0
D(E_F), states/eV/cell: 3.2
DFT total energy, eV per atom: -8.9287
SG: No. 44
E_form, eV/atom: 0.064

Lattice parameters (Å, degrees): 4.7052 4.7052 4.7052 148.38 129.47 60.85
With the nearest neighbours (Å) after each atom.
Atoms (fractional coordinates):
Tc 0.0000 0.0000 0.0000  2 Tc 2.56, 5 Mo 2.62-2.78, 5 Ni 2.70-2.78
Ni 0.6572 0.6572 0.0000  2 Ni 2.56, 5 Tc 2.70-2.78, 5 Mo 2.71-2.74
Mo 0.3230 0.3230 0.0000  2 Mo 2.56, 5 Tc 2.62-2.78, 5 Ni 2.71-2.74



(4)
TcNiMo2 | PBE | relaxed

Output
Energy above the lowest structure with this stoichiometry, meV/atom: 110
D(E_F), states/eV/cell: 3.9
DFT total energy, eV per atom: -9.3355
SG: No. 6
E_form, eV/atom: 0.117

Lattice parameters (Å, degrees): 2.6177 4.3310 5.2151 90.00 100.55 90.00
With the nearest neighbours (Å) after each atom.
Atoms (fractional coordinates):
Tc 0.0000 0.0000 0.0000  4 Mo 2.58-2.81, 2 Tc 2.62, 4 Ni 2.77-2.86
Ni 0.3741 0.5000 0.7593  4 Mo 2.58-2.80, 2 Ni 2.62, 4 Tc 2.77-2.86
Mo 0.5396 0.0000 0.5191  2 Tc 2.58-2.81, 2 Ni 2.58, 4 Mo 2.62-2.68
Mo 0.7685 0.5000 0.2575  2 Ni 2.61-2.80, 4 Mo 2.62-2.68, 2 Tc 2.68



(5)
TcNiMo2 | PBE | relaxed

Output
Energy above the lowest structure with this stoichiometry, meV/atom: 71
D(E_F), states/eV/cell: 3.8
DFT total energy, eV per atom: -9.3742
SG: No. 35
E_form, eV/atom: 0.078

Lattice parameters (Å, degrees): 2.6590 2.6590 8.4418 90.00 90.00 105.02
With the nearest neighbours (Å) after each atom.
Atoms (fractional coordinates):
Tc 0.0000 0.0000 0.0000  2 Ni 2.54, 4 Tc 2.66, 2 Mo 2.74
Ni 0.5000 0.5000 0.2317  2 Tc 2.54, 2 Mo 2.58, 4 Ni 2.66
Mo 0.0000 0.0000 0.4690  2 Ni 2.58, 6 Mo 2.66-2.79
Mo 0.5000 0.5000 0.7387  6 Mo 2.66-2.79, 2 Tc 2.74



(6)
TcNi2Mo | PBE | relaxed

Output
Energy above the lowest structure with this stoichiometry, meV/atom: 59
D(E_F), states/eV/cell: 5.2
DFT total energy, eV per atom: -8.1766
SG: No. 65
E_form, eV/atom: 0.013

Lattice parameters (Å, degrees): 4.6478 4.6478 2.5950 90.00 90.00 111.95
With the nearest neighbours (Å) after each atom.
Atoms (fractional coordinates):
Tc 0.0000 0.0000 0.0000  2 Tc 2.59, 2 Mo 2.60, 8 Ni 2.66
Ni 0.0000 0.5000 0.5000  4 Ni 2.59-2.60, 4 Mo 2.66, 4 Tc 2.66
Ni 0.5000 0.0000 0.5000  4 Ni 2.59-2.60, 4 Mo 2.66, 4 Tc 2.66
Mo 0.5000 0.5000 0.0000  2 Mo 2.59, 2 Tc 2.60, 8 Ni 2.66



(7)
TcNiMo2 | PBE | relaxed

Output
Energy above the lowest structure with this stoichiometry, meV/atom: 104
D(E_F), states/eV/cell: 3.9
DFT total energy, eV per atom: -9.3415
SG: No. 47
E_form, eV/atom: 0.111

Lattice parameters (Å, degrees): 2.7804 3.8079 5.4451 90.00 90.00 90.00
With the nearest neighbours (Å) after each atom.
Atoms (fractional coordinates):
Tc 0.0000 0.0000 0.0000  2 Ni 2.72, 8 Mo 2.73, 2 Tc 2.78
Ni 0.0000 0.0000 0.5000  8 Mo 2.71, 2 Tc 2.72, 2 Ni 2.78
Mo 0.5000 0.5000 0.2532  4 Mo 2.69-2.78, 4 Ni 2.71, 4 Tc 2.73
Mo 0.5000 0.5000 0.7468  4 Mo 2.69-2.78, 4 Ni 2.71, 4 Tc 2.73



(8)
Tc2NiMo | PBE | relaxed

Output
Energy above the lowest structure with this stoichiometry, meV/atom: 175
D(E_F), states/eV/cell: 6.7
DFT total energy, eV per atom: -9.1763
SG: No. 225
E_form, eV/atom: 0.160

Lattice parameters (Å, degrees): 4.3101 4.3101 4.3101 60.00 60.00 60.00
With the nearest neighbours (Å) after each atom.
Atoms (fractional coordinates):
Tc 0.2500 0.2500 0.2500  4 Mo 2.64, 4 Ni 2.64
Tc 0.7500 0.7500 0.7500  4 Mo 2.64, 4 Ni 2.64
Ni 0.0000 0.0000 0.0000  8 Tc 2.64
Mo 0.5000 0.5000 0.5000  8 Tc 2.64



(9)
TcNi2Mo | PBE | relaxed

Output
Energy above the lowest structure with this stoichiometry, meV/atom: 70
D(E_F), states/eV/cell: 3.7
DFT total energy, eV per atom: -8.1658
SG: No. 8
E_form, eV/atom: 0.024

Lattice parameters (Å, degrees): 4.5492 4.5492 4.6628 97.72 97.72 33.23
With the nearest neighbours (Å) after each atom.
Atoms (fractional coordinates):
Tc 0.0000 0.0000 0.0000  7 Ni 2.58-2.76, 3 Mo 2.59-2.79, 2 Tc 2.60
Ni 0.4908 0.4908 0.4749  4 Tc 2.58-2.76, 5 Ni 2.59-2.64, 3 Mo 2.63
Ni 0.7420 0.7420 0.2379  5 Ni 2.59-2.64, 3 Tc 2.59-2.64, 4 Mo 2.61-2.73
Mo 0.2370 0.2370 0.7210  3 Tc 2.59-2.79, 2 Mo 2.60, 7 Ni 2.61-2.73



(10)
TcNiMo2 | PBE | relaxed

Output
Energy above the lowest structure with this stoichiometry, meV/atom: 643
D(E_F), states/eV/cell: 7.7
DFT total energy, eV per atom: -8.8029
SG: No. 122
E_form, eV/atom: 0.649

Lattice parameters (Å, degrees): 5.5135 5.5135 5.5135 103.27 103.27 122.75
With the nearest neighbours (Å) after each atom.
Atoms (fractional coordinates):
Tc 0.0000 0.0000 0.0000  4 Mo 2.52, 2 Ni 2.64
Tc 0.7500 0.2500 0.5000  4 Mo 2.52, 2 Ni 2.64
Ni 0.2500 0.7500 0.5000  4 Mo 2.50, 2 Tc 2.64
Ni 0.5000 0.5000 0.0000  4 Mo 2.50, 2 Tc 2.64
Mo 0.1273 0.6250 0.0023  2 Ni 2.50, 2 Tc 2.52, 2 Mo 2.64
Mo 0.3750 0.3773 0.5023  2 Ni 2.50, 2 Tc 2.52, 2 Mo 2.64
Mo 0.6227 0.1250 0.9977  2 Ni 2.50, 2 Tc 2.52, 2 Mo 2.64
Mo 0.8750 0.8727 0.4977  2 Ni 2.50, 2 Tc 2.52, 2 Mo 2.64



(11)
TcNi3Mo | PBE | relaxed

Output
Energy above the lowest structure with this stoichiometry, meV/atom: 1517
D(E_F), states/eV/cell: 6.8
DFT total energy, eV per atom: -6.1261
SG: No. 221
E_form, eV/atom: 1.582

Lattice parameters (Å, degrees): 4.3496 4.3496 4.3496 90.00 90.00 90.00
With the nearest neighbours (Å) after each atom.
Atoms (fractional coordinates):
Tc 0.0000 0.0000 0.0000  6 Ni 2.17
Ni 0.0000 0.0000 0.5000  2 Tc 2.17
Ni 0.0000 0.5000 0.0000  2 Tc 2.17
Ni 0.5000 0.0000 0.0000  2 Tc 2.17
Mo 0.5000 0.5000 0.5000  12 Ni 3.08



(12)
TcNi2Mo | PBE | relaxed

Output
Energy above the lowest structure with this stoichiometry, meV/atom: 0
D(E_F), states/eV/cell: 2.5
DFT total energy, eV per atom: -8.2359
SG: No. 6
E_form, eV/atom: -0.046

Lattice parameters (Å, degrees): 2.5906 4.1923 4.8019 90.00 96.37 90.00
With the nearest neighbours (Å) after each atom.
Atoms (fractional coordinates):
Tc 0.0000 0.0000 0.0000  7 Ni 2.58-2.68, 2 Tc 2.59, 2 Mo 2.67
Ni 0.3918 0.0000 0.5299  4 Ni 2.46-2.59, 3 Tc 2.58-2.63, 4 Mo 2.62-2.70
Ni 0.4302 0.5000 0.8005  4 Ni 2.46-2.59, 3 Mo 2.59-2.65, 4 Tc 2.61-2.68
Mo 0.8200 0.5000 0.3202  7 Ni 2.59-2.70, 2 Mo 2.59, 2 Tc 2.67